(1)
Here is a relaxed structure of K3Na2Cd2 from the Alexandria database. Energies are from PBE-GGA.

Cell: 7.6645 9.2368 17.0540 Å, 90.00 90.00 90.00°
Element x y z (fractional)
K: 0.0966 0.5782 0.1091
K: 0.9034 0.4218 0.6091
K: 0.9034 0.0782 0.3909
K: 0.0966 0.9218 0.8909
K: 0.9034 0.4218 0.8909
K: 0.0966 0.5782 0.3909
K: 0.0966 0.9218 0.6091
K: 0.9034 0.0782 0.1091
K: 0.3459 0.2393 0.2500
K: 0.6541 0.7607 0.7500
K: 0.6541 0.7393 0.2500
K: 0.3459 0.2607 0.7500
Na: 0.6041 0.4341 0.0835
Na: 0.3959 0.5659 0.5835
Na: 0.3959 0.9341 0.4165
Na: 0.6041 0.0659 0.9165
Na: 0.3959 0.5659 0.9165
Na: 0.6041 0.4341 0.4165
Na: 0.6041 0.0659 0.5835
Na: 0.3959 0.9341 0.0835
Cd: 0.2878 0.2500 0.0000
Cd: 0.7122 0.7500 0.5000
Cd: 0.7122 0.7500 0.0000
Cd: 0.2878 0.2500 0.5000
Cd: 0.8188 0.3668 0.2500
Cd: 0.1812 0.6332 0.7500
Cd: 0.1812 0.8668 0.2500
Cd: 0.8188 0.1332 0.7500

Values from the calculation:
- Formation energy: -0.023 eV/atom
- Total magnetic moment: 0.00 μB/f.u.
- Density: 2.14 g cm⁻³

=====

(2)
Here is a relaxed structure of Ho2BiS from the Alexandria database. Energies are from PBE-GGA.

Cell: 4.1378 4.1378 7.3249 Å, 90.02 106.39 120.00°
Element x y z (fractional)
Ho: 0.5239 0.2617 0.7856
Ho: 0.4761 0.7383 0.2144
Bi: 0.0000 0.5000 0.5000
S: 0.0000 0.0000 0.0000

Values from the calculation:
- Energy relative to the elements, uncorrected: -1.33 eV/atom
- Distance to the lowest polymorph of the same formula: 0.0 meV per atom
- Total magnetic moment: 0.00 μB/f.u.
- Density: 9.23 g cm⁻³

=====

(3)
Here is a relaxed structure of Tb6C2S3Br from the Alexandria database. Energies are from PBE-GGA.

Cell: 3.7981 7.9372 8.6287 Å, 101.81 102.71 90.00°
Element x y z (fractional)
Tb: 0.3211 0.8679 0.6421
Tb: 0.6752 0.5652 0.3505
Tb: 0.6789 0.1321 0.3579
Tb: 0.0216 0.2841 0.0432
Tb: 0.9784 0.7159 0.9568
Tb: 0.3248 0.4348 0.6495
C: 0.8301 0.6645 0.6601
C: 0.1699 0.3355 0.3399
S: 0.5000 0.5000 0.0000
S: 0.8422 0.1617 0.6843
S: 0.1578 0.8383 0.3157
Br: 0.5000 0.0000 0.0000

Values from the calculation:
- Energy relative to the elements, uncorrected: -1.38 eV/atom
- Total magnetic moment: 0.00 μB/f.u.
- Density: 7.72 g cm⁻³

=====

(4)
Here is a relaxed structure of Mg3CdCu2 from the Alexandria database. Energies are from PBE-GGA.

Cell: 3.2175 3.2175 10.1592 Å, 90.00 90.00 90.00°
Element x y z (fractional)
Mg: 0.0000 0.0000 0.0000
Mg: 0.0000 0.0000 0.6996
Mg: 0.0000 0.0000 0.3004
Cd: 0.5000 0.5000 0.5000
Cu: 0.5000 0.5000 0.8512
Cu: 0.5000 0.5000 0.1488

Values from the calculation:
- Formation energy: -0.112 eV/atom
- Total magnetic moment: 0.00 μB/f.u.
- Density: 4.93 g cm⁻³

=====

| no. | N(E_F) (states/eV/atom) | calculated total energy (eV per atom) |
| --- | --- | --- |
| 1 | 0.4545 | -1.1321 |
| 2 | 0.4727 | -5.6214 |
| 3 | 0.2399 | -6.3992 |
| 4 | 0.2771 | -2.4275 |